(1)
VASP calculation (PBE with a Hubbard U) on a relaxed structure of CaMo2P2O9.

abc: 15.0859 6.7463 7.4119
angles: 90.00 90.00 90.00
With the nearest neighbours (Å) after each atom.
Space group Pnma (No. 62)
Asymmetric unit:
Ca: 0.2206 0.2500 0.0922 [4 per cell]  6 O 2.42-2.58
Mo: 0.0000 0.0000 0.0000 [4 per cell]  6 O 2.12-2.21
Mo: 0.1232 0.2500 0.6337 [4 per cell]  6 O 2.07-2.28
P: 0.0730 0.7500 0.6269 [4 per cell]  4 O 1.51-1.58
P: 0.1912 0.7500 0.0973 [4 per cell]  4 O 1.55-1.57
O: 0.0064 0.7500 0.4748 [4 per cell]  1 P 1.51
O: 0.0215 0.7500 0.8133 [4 per cell]  1 P 1.58
O: 0.0638 0.2500 0.8850 [4 per cell]  3 Mo 2.07-2.12
O: 0.1344 0.5583 0.0961 [8 per cell]  1 P 1.55
O: 0.1367 0.5697 0.6221 [8 per cell]  1 P 1.55
O: 0.2399 0.2500 0.4387 [4 per cell]  1 P 1.57
O: 0.2501 0.2500 0.7714 [4 per cell]  1 P 1.56

total magnetization	24.000	Bohr magnetons per cell
energy	-7.393	eV/atom
crystal system	orthorhombic
theoretical density	3.9	Mg/m³

=====

(2)
VASP calculation (PBE with a Hubbard U) on a relaxed structure of CaMoP2O.

abc: 4.8798 4.8798 3.8827
angles: 90.00 90.00 90.00
With the nearest neighbours (Å) after each atom.
Space group P4/mmm (No. 123)
Asymmetric unit:
Ca: 0.0000 0.0000 0.0000 [1 per cell]  8 P 3.12, 4 O 3.45
Mo: 0.5000 0.5000 0.5000 [1 per cell]  2 O 1.94
P: 0.0000 0.5000 0.5000 [2 per cell]  2 Mo 2.44
O: 0.5000 0.5000 0.0000 [1 per cell]  2 Mo 1.94

total magnetization	0.298	Bohr magnetons per cell
energy	-5.545	eV/atom
crystal system	tetragonal
theoretical density	3.8	Mg/m³

=====

(3)
VASP calculation (PBE with a Hubbard U) on a relaxed structure of CaMo2P2O10.

abc: 7.5703 12.2385 16.1314
angles: 90.00 90.00 90.00
With the nearest neighbours (Å) after each atom.
Space group Fddd (No. 70, origin choice 2)
Asymmetric unit:
Ca: 0.1250 0.1250 0.1250 [8 per cell]  8 O 2.49-2.65
Mo: 0.0000 0.0000 0.5000 [16 per cell]  2 O 1.92
P: 0.1250 0.1250 0.3294 [16 per cell]  4 O 1.55-1.56
O: 0.0355 0.3620 0.5209 [32 per cell]  1 P 1.55
O: 0.1016 0.0222 0.8643 [32 per cell]  1 P 1.56
O: 0.1250 0.1250 0.5414 [16 per cell]  2 Mo 1.92

total magnetization	32.000	Bohr magnetons per cell
energy	-7.315	eV/atom
crystal system	orthorhombic
theoretical density	4.0	Mg/m³

=====

(4)
VASP calculation (PBE with a Hubbard U) on a relaxed structure of CaMoPO2.

abc: 4.1263 4.1263 6.1891
angles: 90.00 90.00 90.00
With the nearest neighbours (Å) after each atom.
Space group P4/mmm (No. 123)
Asymmetric unit:
Ca: 0.0000 0.0000 0.0000 [1 per cell]  4 O 2.06
Mo: 0.5000 0.5000 0.5000 [1 per cell]  4 P 2.92
P: 0.0000 0.0000 0.5000 [1 per cell]  4 Mo 2.92, 2 Ca 3.09
O: 0.0000 0.5000 0.0000 [2 per cell]  2 Ca 2.06

total magnetization	4.563	Bohr magnetons per cell
energy	-4.811	eV/atom
crystal system	tetragonal
theoretical density	3.1	Mg/m³

=====

(5)
VASP calculation (PBE with a Hubbard U) on a relaxed structure of Ca2PaMoO6.

abc: 5.7315 5.9301 9.9868
angles: 90.00 124.35 90.00
With the nearest neighbours (Å) after each atom.
Space group P2_1/c (No. 14)
Asymmetric unit:
Ca: 0.2319 0.0520 0.2470 [4 per cell]  4 O 2.35-2.46
Pa: 0.5000 0.0000 0.0000 [2 per cell]  6 O 2.17-2.20
Mo: 0.0000 0.0000 0.5000 [2 per cell]  6 O 2.17-2.19
O: 0.1332 0.1957 0.9410 [4 per cell]  1 Mo 2.17, 1 Pa 2.17, 1 Ca 2.37
O: 0.2380 0.6986 0.9336 [4 per cell]  1 Mo 2.17, 1 Pa 2.18, 1 Ca 2.37
O: 0.3678 0.0542 0.7484 [4 per cell]  1 Mo 2.19, 1 Pa 2.20, 1 Ca 2.35

total magnetization	6.000	Bohr magnetons per cell
energy	-7.962	eV/atom
crystal system	monoclinic
theoretical density	6.0	Mg/m³

=====

(6)
VASP calculation (PBE with a Hubbard U) on a relaxed structure of CaPaMoO6.

abc: 5.6355 5.6355 9.6826
angles: 90.00 90.00 120.00
With the nearest neighbours (Å) after each atom.
Space group P-31c (No. 163)
Asymmetric unit:
Ca: 0.0000 0.0000 0.0000 [2 per cell]  6 O 2.45
Pa: 0.3333 0.6667 0.2500 [2 per cell]  6 O 2.18
Mo: 0.3333 0.6667 0.7500 [2 per cell]  6 O 2.01
O: 0.0226 0.3711 0.6407 [12 per cell]  1 Mo 2.01, 1 Pa 2.18

total magnetization	2.000	Bohr magnetons per cell
energy	-8.106	eV/atom
crystal system	trigonal
theoretical density	5.8	Mg/m³

=====

(7)
VASP calculation (PBE with a Hubbard U) on a relaxed structure of Ca2PaMoO8.

abc: 7.0827 7.3775 6.7714
angles: 90.00 90.00 90.00
With the nearest neighbours (Å) after each atom.
Space group Cmmm (No. 65)
Asymmetric unit:
Ca: 0.0000 0.0000 0.2407 [4 per cell]  6 O 2.32-2.39
Pa: 0.0000 0.5000 0.5000 [2 per cell]  2 O 2.02
Mo: 0.0000 0.5000 0.0000 [2 per cell]  6 O 1.89-1.98
O: 0.0000 0.3238 0.2215 [8 per cell]  1 Mo 1.98
O: 0.2152 0.0000 0.5000 [4 per cell]  1 Pa 2.02
O: 0.2330 0.0000 0.0000 [4 per cell]  1 Mo 1.89

total magnetization	1.603	Bohr magnetons per cell
energy	-7.584	eV/atom
crystal system	orthorhombic
theoretical density	5.0	Mg/m³

=====

(8)
VASP calculation (PBE with a Hubbard U) on a relaxed structure of CaPaMo2O8.

abc: 5.2587 5.2587 10.9953
angles: 90.00 90.00 90.00
With the nearest neighbours (Å) after each atom.
Space group I-4 (No. 82)
Asymmetric unit:
Ca: 0.0000 0.0000 0.0000 [2 per cell]  8 O 2.36-2.44
Pa: 0.0000 0.5000 0.2500 [2 per cell]  8 O 2.21-2.44
Mo: 0.0000 0.0000 0.5000 [2 per cell]  4 O 1.90
Mo: 0.0000 0.5000 0.7500 [2 per cell]  4 O 2.00
O: 0.1923 0.2378 0.4078 [8 per cell]  1 Mo 1.90
O: 0.2070 0.7604 0.8375 [8 per cell]  1 Mo 2.00, 1 Pa 2.21

total magnetization	6.000	Bohr magnetons per cell
energy	-7.879	eV/atom
crystal system	tetragonal
theoretical density	6.5	Mg/m³

=====

(9)
VASP calculation (PBE with a Hubbard U) on a relaxed structure of Ca2MoPbO5.

abc: 6.7812 6.7812 5.8137
angles: 90.00 90.00 90.00
With the nearest neighbours (Å) after each atom.
Space group P4/mbm (No. 127)
Asymmetric unit:
Ca: 0.1822 0.3178 0.0000 [4 per cell]  4 O 2.32-2.48
Mo: 0.0000 0.5000 0.5000 [2 per cell]  4 O 1.90
Pb: 0.0000 0.0000 0.5000 [2 per cell]  10 O 2.91-2.97
O: 0.0000 0.0000 0.0000 [2 per cell]  4 Ca 2.48
O: 0.1370 0.6370 0.2642 [8 per cell]  1 Mo 1.90

total magnetization	0.000	Bohr magnetons per cell
energy	-6.325	eV/atom
crystal system	tetragonal
theoretical density	5.8	Mg/m³

=====

(10)
VASP calculation (PBE with a Hubbard U) on a relaxed structure of Ca2MoPbO6.

abc: 5.6877 5.6877 5.4757
angles: 90.00 90.00 90.00
With the nearest neighbours (Å) after each atom.
Space group P4mm (No. 99)
Asymmetric unit:
Ca: 0.0000 0.5000 0.0000 [2 per cell]  4 O 2.35
Mo: 0.0000 0.0000 0.6658 [1 per cell]  5 O 1.80-1.91
Pb: 0.5000 0.5000 0.5664 [1 per cell]  1 O 2.18
O: 0.0000 0.0000 0.3370 [1 per cell]  1 Mo 1.80
O: 0.2235 0.2235 0.7820 [4 per cell]  1 Mo 1.91
O: 0.5000 0.5000 0.1690 [1 per cell]  1 Pb 2.18

total magnetization	0.000	Bohr magnetons per cell
energy	-6.428	eV/atom
crystal system	tetragonal
theoretical density	4.5	Mg/m³

=====

(11)
VASP calculation (PBE with a Hubbard U) on a relaxed structure of Ca2PmMoO6.

abc: 5.6805 5.9092 10.0053
angles: 90.00 124.41 90.00
With the nearest neighbours (Å) after each atom.
Space group P2_1/c (No. 14)
Asymmetric unit:
Ca: 0.2326 0.0520 0.2420 [4 per cell]  4 O 2.33-2.42
Pm: 0.0000 0.0000 0.5000 [2 per cell]  6 O 2.29-2.39
Mo: 0.5000 0.0000 0.0000 [2 per cell]  6 O 1.97-2.05
O: 0.1488 0.1756 0.9444 [4 per cell]  1 Mo 2.03
O: 0.2708 0.7206 0.9327 [4 per cell]  1 Mo 1.97
O: 0.3842 0.0587 0.7679 [4 per cell]  1 Mo 2.05

total magnetization	2.000	Bohr magnetons per cell
energy	-7.231	eV/atom
crystal system	monoclinic
theoretical density	5.0	Mg/m³

=====

(12)
VASP calculation (PBE with a Hubbard U) on a relaxed structure of CaPmMo2O8.

abc: 7.4968 7.4968 6.7328
angles: 90.00 90.00 90.00
With the nearest neighbours (Å) after each atom.
Space group I-4m2 (No. 119)
Asymmetric unit:
Ca: 0.0000 0.0000 0.0000 [2 per cell]  8 O 2.42-2.66
Pm: 0.0000 0.5000 0.7500 [2 per cell]  4 O 2.34
Mo: 0.0000 0.0000 0.5000 [2 per cell]  4 O 1.86
Mo: 0.0000 0.5000 0.2500 [2 per cell]  4 O 1.80
O: 0.0000 0.1958 0.6706 [8 per cell]  1 Mo 1.86
O: 0.0000 0.3141 0.0819 [8 per cell]  1 Mo 1.80

total magnetization	2.000	Bohr magnetons per cell
energy	-7.343	eV/atom
crystal system	tetragonal
theoretical density	4.4	Mg/m³

=====

(13)
VASP calculation (PBE with a Hubbard U) on a relaxed structure of CaPrMo2O6.

abc: 5.5983 5.9003 9.7364
angles: 90.00 124.67 90.00
With the nearest neighbours (Å) after each atom.
Space group Pc (No. 7)
Asymmetric unit:
Ca: 0.0000 0.1956 0.0000 [2 per cell]  4 O 2.35-2.43
Pr: 0.5317 0.3080 0.4994 [2 per cell]  5 O 2.36-2.63
Mo: 0.2656 0.2484 0.7499 [2 per cell]  6 O 2.14-2.19
Mo: 0.7641 0.2462 0.2490 [2 per cell]  6 O 2.05-2.13
O: 0.0098 0.4428 0.1976 [2 per cell]  2 Mo 2.07-2.19
O: 0.1159 0.1998 0.4922 [2 per cell]  2 Mo 2.06-2.16
O: 0.4128 0.2953 0.0068 [2 per cell]  2 Mo 2.06-2.16
O: 0.5177 0.0559 0.3010 [2 per cell]  2 Mo 2.05-2.16
O: 0.6334 0.4524 0.8104 [2 per cell]  2 Mo 2.13-2.16, 1 Ca 2.37
O: 0.8959 0.0513 0.6892 [2 per cell]  2 Mo 2.11-2.14, 1 Pr 2.36

total magnetization	10.000	Bohr magnetons per cell
energy	-7.491	eV/atom
crystal system	monoclinic
theoretical density	5.9	Mg/m³

=====

(14)
VASP calculation (PBE with a Hubbard U) on a relaxed structure of CaPr2MoO6.

abc: 5.7026 5.9768 10.1416
angles: 90.00 124.13 90.00
With the nearest neighbours (Å) after each atom.
Space group P2_1/c (No. 14)
Asymmetric unit:
Ca: 0.0000 0.0000 0.0000 [2 per cell]  6 O 2.30-2.34
Pr: 0.2622 0.0584 0.7473 [4 per cell]  4 O 2.33-2.43
Mo: 0.5000 0.0000 0.5000 [2 per cell]  6 O 2.04-2.15
O: 0.1373 0.0586 0.2621 [4 per cell]  1 Mo 2.15, 1 Pr 2.33, 1 Ca 2.34
O: 0.2656 0.6801 0.0582 [4 per cell]  1 Mo 2.04
O: 0.3955 0.2121 0.0697 [4 per cell]  1 Mo 2.07

total magnetization	4.000	Bohr magnetons per cell
energy	-7.653	eV/atom
crystal system	monoclinic
theoretical density	6.0	Mg/m³

=====

(15)
VASP calculation (PBE with a Hubbard U) on a relaxed structure of CaPuMoO6.

abc: 5.5277 5.5277 9.8529
angles: 90.00 90.00 120.00
With the nearest neighbours (Å) after each atom.
Space group P-31c (No. 163)
Asymmetric unit:
Ca: 0.0000 0.0000 0.0000 [2 per cell]  6 O 2.44
Pu: 0.3333 0.6667 0.2500 [2 per cell]  6 O 2.15
Mo: 0.3333 0.6667 0.7500 [2 per cell]  6 O 2.00
O: 0.0209 0.3735 0.6401 [12 per cell]  1 Mo 2.00, 1 Pu 2.15

total magnetization	8.000	Bohr magnetons per cell
energy	-8.330	eV/atom
crystal system	trigonal
theoretical density	6.1	Mg/m³

=====

(16)
VASP calculation (PBE with a Hubbard U) on a relaxed structure of RbCa2MoO.

abc: 4.8212 4.8212 7.0614
angles: 90.00 90.00 90.00
With the nearest neighbours (Å) after each atom.
Space group P4/mmm (No. 123)
Asymmetric unit:
Rb: 0.0000 0.0000 0.0000 [1 per cell]  4 Mo 3.41
Ca: 0.0000 0.5000 0.5000 [2 per cell]  2 O 2.41
Mo: 0.5000 0.5000 0.0000 [1 per cell]  4 Rb 3.41, 2 O 3.53
O: 0.5000 0.5000 0.5000 [1 per cell]  4 Ca 2.41

total magnetization	5.171	Bohr magnetons per cell
energy	-3.630	eV/atom
crystal system	tetragonal
theoretical density	2.8	Mg/m³

=====

(17)
VASP calculation (PBE with a Hubbard U) on a relaxed structure of Rb2Ca2MoO6.

abc: 5.8824 9.9575 6.8455
angles: 90.00 106.64 90.00
With the nearest neighbours (Å) after each atom.
Space group C2/m (No. 12)
Asymmetric unit:
Rb: 0.0000 0.1701 0.0000 [4 per cell]  6 O 2.84-3.09
Ca: 0.0000 0.3359 0.5000 [4 per cell]  6 O 2.35-2.39
Mo: 0.0000 0.0000 0.5000 [2 per cell]  6 O 1.97-1.98
O: 0.1955 0.1435 0.6659 [8 per cell]  1 Mo 1.98
O: 0.2225 0.0000 0.3319 [4 per cell]  1 Mo 1.97

total magnetization	0.000	Bohr magnetons per cell
energy	-6.057	eV/atom
crystal system	monoclinic
theoretical density	3.8	Mg/m³